*i*
# LiGdPbS3

LiGdPbS3 after structural relaxation (PBE, OQMD via LeMat-Bulk).

Lattice parameters (Å, degrees): 4.014 12.934 10.424 90.00 90.00 90.00
Space group Cmcm (No. 63)
Inequivalent atoms, fractional coordinates:
Li 0.000 0.023 0.250
Gd 0.000 0.500 0.000
Pb 0.000 0.253 0.750
S 0.000 0.135 0.070
S 0.000 0.421 0.250

Calculated values
Magnetization in μB per formula unit: 0.00


*ii*
# LiGdPbS3

LiGdPbS3 after structural relaxation (PBE, OQMD via LeMat-Bulk).

Lattice parameters (Å, degrees): 17.015 3.962 8.362 90.00 104.13 90.00
Space group C2/m (No. 12)
Inequivalent atoms, fractional coordinates:
Li 0.001 0.000 0.197
Gd 0.165 0.500 0.090
Pb 0.133 0.500 0.564
S 0.000 0.000 0.500
S 0.000 0.500 0.000
S 0.166 0.000 0.859
S 0.172 0.000 0.317

Calculated values
Magnetization in μB per formula unit: 0.01


Energy relative to the most stable one, in eV/atom: *i* 0.040; *ii* 0.000